Computed, not measured: crystalline TiCuBiAs2 at its relaxed geometry at the GGA-PBE level of DFT.

Summary:
DFT total energy ... -0.1625 Ha/atom
SG ... No. 123
Crystal system ... tetragonal

Unit cell a=4.6163 b=4.6163 c=5.3457 alpha=90.00 beta=90.00 gamma=90.00
Fractional positions:
Ti  0.0000  0.0000  0.0000
Cu  0.5000  0.5000  0.5000
Bi  0.5000  0.5000  0.0000
As  0.0000  0.5000  0.5000
As  0.5000  0.0000  0.5000